Compound: Dy4InPt
Source: the Alexandria database
Functional: PBE
Structure: optimized geometry

Its volume is 27.033 Å³ per atom. As for the density of states at the Fermi level: 75.956 states/eV per cell. The calculation puts the energy at -5.209 eV per atom.

The structure belongs to space group F-43m (No. 216); the cell edges are 13.742, 13.742 and 13.742 Å and the angles 90.00°, 90.00° and 90.00°. Symmetry generates all atoms from Dy at (0.000, 0.000, 0.187), Dy at (0.061, 0.250, 0.250), Dy at (0.101, 0.101, 0.601), In at (0.167, 0.167, 0.833) and Pt at (0.107, 0.107, 0.393).


Compound: LiHoO
Source: the Alexandria database
Functional: PBE
Structure: optimized geometry

The raw formation energy comes out at -1.88 eV per atom. Its volume is 14.978 Å³ per atom. As for the density of states at the Fermi level: 2.287 states/eV per cell.

The structure belongs to space group P2_1/m (No. 11); the cell edges are 3.395, 3.350 and 7.900 Å and the angles 90.00°, 90.03° and 90.00°. Symmetry generates all atoms from Li at (0.249, 0.250, 0.413), Ho at (0.251, 0.250, 0.842) and O at (0.249, 0.250, 0.141).


Compound: TiHPd2
Source: the Alexandria database
Functional: PBE
Structure: optimized geometry

Its volume is 12.907 Å³ per atom. As for the density of states at the Fermi level: 4.843 states/eV per cell. The calculation puts the energy at -5.451 eV per atom.

The structure belongs to space group R-3m (No. 166, hexagonal axes); the cell edges are 2.8393, 2.8393 and 22.1847 Å and the angles 90.00°, 90.00° and 120.00°. Symmetry generates all atoms from Ti at (0.0000, 0.0000, 0.0000), H at (0.0000, 0.0000, 0.5000) and Pd at (0.0000, 0.0000, 0.1104).


Compound: PuUFePt
Source: the Alexandria database
Functional: PBE
Structure: optimized geometry

Its volume is 17.249 Å³ per atom. As for the density of states at the Fermi level: 13.643 states/eV per cell. The calculation puts the energy at -10.447 eV per atom.

The structure belongs to space group F-43m (No. 216); the cell edges are 6.511, 6.511 and 6.511 Å and the angles 90.00°, 90.00° and 90.00°. Symmetry generates all atoms from Pu at (0.000, 0.000, 0.000), U at (0.250, 0.250, 0.750), Fe at (0.000, 0.000, 0.500) and Pt at (0.250, 0.250, 0.250).


What is the formula in the second record? LiHoO


Number 3 is which compound? TiHPd2


What is the formula in the second record? LiHoO


The highest volume belongs to which entry? Dy4InPt